First-principles (PBE+U) data for crystalline Co9Cu3O16 at its relaxed geometry, as listed in the Alexandria database.

a = 5.753 Å, b = 5.753 Å, c = 8.110 Å
α = 90.00°, β = 90.00°, γ = 90.00°
Space group P-4m2 (No. 115)
Inequivalent atoms, fractional coordinates:
Co 0.000 0.000 0.000 (multiplicity 1)
Co 0.000 0.250 0.624 (multiplicity 4)
Co 0.251 0.500 0.874 (multiplicity 4)
Cu 0.000 0.500 0.252 (multiplicity 2)
Cu 0.500 0.500 0.500 (multiplicity 1)
O 0.000 0.221 0.389 (multiplicity 4)
O 0.000 0.277 0.861 (multiplicity 4)
O 0.221 0.500 0.638 (multiplicity 4)
O 0.279 0.500 0.111 (multiplicity 4)

Results
For the total energy, the calculation gives -5.8164 eV per atom. For the theoretical density, the calculation gives 6.0 g/cm³. The calculation puts the total moment at 6.21 μB per cell.